[1]
{
  "formula": "BaTmCdIn",
  "functional": "GGA-PBE",
  "state": "optimized geometry",
  "lattice": [[5.6481, 0.0000, 0.0000], [2.8240, 4.8914, 0.0000], [2.8240, 1.6305, 4.6116]],
  "species": ["Tm", "Ba", "Cd", "In"],
  "frac_coords": [[0.0000, 0.0000, 0.0000], [0.5000, 0.5000, 0.5000], [0.7500, 0.7500, 0.7500], [0.2500, 0.2500, 0.2500]],
  "crystal_system": "cubic",
  "n_ef_per_ev_atom": 0.81,
  "vol_a3_per_cell": 127.40,
  "e_form_ev_per_atom": -0.235,
  "energy_ev_per_cell": -10.99
}

[2]
{
  "formula": "LaF",
  "functional": "GGA-PBE",
  "state": "optimized geometry",
  "lattice": [[-2.2042, -3.1053, -3.6999], [-1.3563, -3.5054, 3.7501], [-4.6360, 2.5019, 0.6620]],
  "species": ["La", "La", "F", "F", "La", "F", "La", "F"],
  "frac_coords": [[0.0000, 0.0000, 0.5000], [0.0000, 0.5000, 0.0000], [0.0000, 0.0000, 0.0000], [0.5000, 0.5000, 0.0000], [0.5000, 0.5000, 0.5000], [0.5000, 0.0000, 0.5000], [0.5000, 0.0000, 0.0000], [0.0000, 0.5000, 0.5000]],
  "e_form_raw_ev_per_fu": -4.820,
  "crystal_system": "cubic",
  "n_ef_per_ev_atom": 0.33,
  "vol_a3_per_cell": 149.68,
  "energy_ev_per_cell": -46.48,
  "relative_energy_ev_per_atom": 0.2034
}

[3]
{
  "formula": "PmNdCo",
  "functional": "GGA-PBE",
  "state": "optimized geometry",
  "lattice": [[0.5392, 1.3228, 3.4864], [-0.6112, -5.1088, 4.0687], [6.9948, 0.5563, 0.7429]],
  "species": ["Co", "Co", "Pm", "Pm", "Nd", "Nd"],
  "frac_coords": [[0.0790, 0.0355, 0.8065], [0.9210, 0.9645, 0.1935], [0.3100, 0.2676, 0.1125], [0.6900, 0.7324, 0.8875], [0.5882, 0.2345, 0.5891], [0.4118, 0.7655, 0.4109]],
  "crystal_system": "monoclinic",
  "n_ef_per_ev_atom": 1.05,
  "vol_a3_per_cell": 158.38,
  "e_form_ev_per_atom": -0.069,
  "energy_ev_per_cell": -33.66,
  "relative_energy_ev_per_atom": 0.0000
}

[4]
{
  "formula": "Na2NpPbBr8",
  "functional": "GGA-PBE",
  "state": "optimized geometry",
  "lattice": [[7.1283, -0.2006, -0.0041], [-0.2387, 6.8459, -0.0072], [0.0039, 0.0118, 8.9384]],
  "species": ["Br", "Br", "Br", "Br", "Br", "Pb", "Br", "Br", "Na", "Br", "Na", "Np"],
  "frac_coords": [[0.3166, 0.2575, 0.0000], [0.3373, 0.2703, 0.5000], [0.6627, 0.7297, 0.5000], [0.6834, 0.7425, 0.0000], [0.8430, 0.2198, 0.7748], [0.0000, 0.0000, 0.5000], [0.1570, 0.7802, 0.2252], [0.1570, 0.7801, 0.7749], [0.5000, 0.5000, 0.2595], [0.8430, 0.2199, 0.2251], [0.5000, 0.5000, 0.7405], [0.0000, 0.0000, 0.0000]],
  "e_form_raw_ev_per_fu": -14.902,
  "crystal_system": "monoclinic",
  "n_ef_per_ev_atom": 0.35,
  "vol_a3_per_cell": 435.76,
  "energy_ev_per_cell": -47.57
}